Computed, not measured: a geometry-optimized RbReAgTe2Se structure at the GGA-PBE level of DFT.

```
data_RbReAgTe2Se
_chemical_formula_sum 'Rb4 Re4 Ag4 Te8 Se4'
_cell_length_a 4.060
_cell_length_b 16.396
_cell_length_c 10.487
_cell_angle_alpha 90.00
_cell_angle_beta 90.00
_cell_angle_gamma 90.00
_space_group_name_H-M_alt 'C m c m'
_space_group_IT_number 63
_space_group_name_Hall '-C 2c 2'
loop_
_atom_site_label
_atom_site_fract_x
_atom_site_fract_y
_atom_site_fract_z
Rb1 0.000 0.243 0.250
Re1 0.000 0.000 0.000
Ag1 0.000 0.456 0.750
Te1 0.000 0.384 0.518
Se1 0.000 0.058 0.750
```

size of the total moment	0.427	μB/atom
raw total energy	-4.370	eV per atom
calculated density	6.8	g cm⁻³
crystal system	orthorhombic